(1)
Li2Al2Ga3 | GGA-PBE | optimized geometry

abc: 6.791 6.791 6.791
angles: 109.47 109.47 109.47
Element x y z (fractional)
Ga 0.250 0.925 0.175
Ga 0.750 0.575 0.325
Ga 0.075 0.325 0.250
Ga 0.425 0.175 0.750
Ga 0.825 0.250 0.575
Ga 0.675 0.750 0.925
Li 0.500 0.388 0.500
Li 0.888 0.500 0.000
Li 0.612 0.112 0.112
Li 0.000 0.000 0.388
Al 0.304 0.500 0.000
Al 0.000 0.000 0.804
Al 0.500 0.804 0.500
Al 0.196 0.696 0.696

## Properties
formation energy from the elements: -15.3 meV per atom
symmetry: I2_13 (199)
excess energy over the best structure of this formula in the dataset: 0.075 eV per atom
DOS(E_F): 0.574 states/eV/atom

(2)
KIn3Au3 | GGA-PBE | optimized geometry

abc: 4.586 9.617 9.632
angles: 119.98 90.00 90.00
Element x y z (fractional)
In 0.250 0.232 0.949
In 0.750 0.283 0.232
In 0.250 0.050 0.283
In 0.250 0.717 0.768
In 0.750 0.950 0.717
In 0.750 0.768 0.051
Au 0.250 0.042 0.607
Au 0.250 0.393 0.435
Au 0.250 0.565 0.958
Au 0.750 0.958 0.393
Au 0.750 0.435 0.042
Au 0.750 0.607 0.565
K 0.250 0.666 0.333
K 0.750 0.334 0.667

## Properties
formation energy from the elements: -201.1 meV per atom
symmetry: P2_1/m (11)
excess energy over the best structure of this formula in the dataset: 0.000 eV per atom
DOS(E_F): 0.311 states/eV/atom

(3)
MgZn2MoRh | GGA-PBE | optimized geometry

abc: 4.877 4.666 4.877
angles: 90.00 90.00 90.00
Element x y z (fractional)
Mo 0.000 0.000 0.000
Zn 0.500 0.000 0.000
Zn 0.000 0.000 0.500
Mg 0.500 0.500 0.500
Rh 0.000 0.500 0.000

## Properties
formation energy from the elements: 822.3 meV per atom
symmetry: P4/mmm (123)
DOS(E_F): 0.900 states/eV/atom

(4)
MnNi14Rh | GGA-PBE | optimized geometry

abc: 5.036 5.036 8.234
angles: 90.00 90.00 120.09
Element x y z (fractional)
Ni 0.209 0.791 0.000
Ni 0.542 0.959 0.500
Ni 0.874 0.126 0.247
Ni 0.041 0.458 0.500
Ni 0.377 0.126 0.755
Ni 0.874 0.623 0.755
Ni 0.377 0.126 0.245
Ni 0.375 0.625 0.248
Ni 0.874 0.126 0.753
Ni 0.874 0.623 0.245
Ni 0.208 0.292 0.000
Ni 0.375 0.625 0.752
Ni 0.708 0.792 0.000
Ni 0.708 0.292 0.000
Mn 0.543 0.457 0.500
Rh 0.042 0.958 0.500

## Properties
formation energy from the elements: 0.7 meV per atom
symmetry: Amm2 (38)
DOS(E_F): 1.558 states/eV/atom

(5)
LaCdGe | GGA-PBE | optimized geometry

abc: 4.902 4.902 4.902
angles: 60.00 60.00 60.00
Element x y z (fractional)
La 0.500 0.500 0.500
Ge 0.250 0.250 0.250
Cd 0.000 0.000 0.000

## Properties
formation energy from the elements: -452.6 meV per atom
symmetry: F-43m (216)
DOS(E_F): 0.739 states/eV/atom

(6)
Sc5As2C | GGA-PBE | optimized geometry

abc: 7.321 7.508 10.602
angles: 90.00 90.00 90.00
Element x y z (fractional)
As 0.416 0.500 0.824
As 0.916 0.000 0.676
As 0.584 0.500 0.176
As 0.416 0.000 0.824
As 0.084 0.500 0.324
As 0.084 0.000 0.324
As 0.916 0.500 0.676
As 0.584 0.000 0.176
Sc 0.501 0.750 0.000
Sc 0.499 0.250 0.000
Sc 0.821 0.001 0.939
Sc 0.373 0.750 0.309
Sc 0.321 0.501 0.561
Sc 0.999 0.750 0.500
Sc 0.821 0.499 0.939
Sc 0.627 0.750 0.691
Sc 0.627 0.250 0.691
Sc 0.127 0.250 0.809
Sc 0.001 0.250 0.500
Sc 0.679 0.499 0.439
Sc 0.679 0.001 0.439
Sc 0.873 0.250 0.191
Sc 0.321 0.999 0.561
Sc 0.127 0.750 0.809
Sc 0.179 0.501 0.061
Sc 0.373 0.250 0.309
Sc 0.179 0.999 0.061
Sc 0.873 0.750 0.191
C 0.499 0.250 0.500
C 0.999 0.750 0.000
C 0.501 0.750 0.500
C 0.001 0.250 0.000

## Properties
formation energy from the elements: -908.0 meV per atom
symmetry: Pnma (62)
DOS(E_F): 0.687 states/eV/atom